# 1
VASP calculation (PBE) on CsNaTlSn after structural relaxation.

Lattice parameters (Å, degrees): 8.2416 8.2416 8.2416 90.00 90.00 90.00
Atoms (fractional coordinates):
Cs: 0.0000 0.0000 0.0000
Cs: 0.0000 0.5000 0.5000
Cs: 0.5000 0.0000 0.5000
Cs: 0.5000 0.5000 0.0000
Na: 0.2500 0.2500 0.7500
Na: 0.2500 0.7500 0.2500
Na: 0.7500 0.2500 0.2500
Na: 0.7500 0.7500 0.7500
Tl: 0.2500 0.2500 0.2500
Tl: 0.2500 0.7500 0.7500
Tl: 0.7500 0.2500 0.7500
Tl: 0.7500 0.7500 0.2500
Sn: 0.0000 0.0000 0.5000
Sn: 0.0000 0.5000 0.0000
Sn: 0.5000 0.0000 0.0000
Sn: 0.5000 0.5000 0.5000

The value obtained for the magnetic moment is 0.00 μB per cell. For the density of states at the Fermi level, the calculation gives 0.89 states/eV per atom. Its total energy is -2.180 eV/atom.



# 2
VASP calculation (PBE) on Ti4V4Tc3 after structural relaxation.

Lattice parameters (Å, degrees): 2.7993 4.2557 13.8301 81.22 87.84 89.97
Atoms (fractional coordinates):
Ti: 0.2082 0.2753 0.4490
Ti: 0.2736 0.9108 0.1781
Ti: 0.7264 0.0892 0.8219
Ti: 0.7918 0.7247 0.5510
V: 0.3296 0.5433 0.9129
V: 0.3760 0.1769 0.6447
V: 0.6240 0.8231 0.3553
V: 0.6704 0.4567 0.0871
Tc: 0.0000 0.0000 0.0000
Tc: 0.0714 0.6332 0.7328
Tc: 0.9286 0.3668 0.2672

The value obtained for the magnetic moment is 0.00 μB per cell. For the density of states at the Fermi level, the calculation gives 1.27 states/eV per atom. Its total energy is -9.222 eV/atom.



# 3
VASP calculation (PBE) on In2CuRu after structural relaxation.

Lattice parameters (Å, degrees): 3.2581 4.5723 4.5728 90.00 90.00 90.00
Atoms (fractional coordinates):
In: 0.0000 0.0000 0.0000
In: 0.0000 0.5000 0.4978
Cu: 0.5000 0.5000 0.9966
Ru: 0.5000 0.0000 0.5004

The value obtained for the magnetic moment is 0.00 μB per cell. For the density of states at the Fermi level, the calculation gives 0.59 states/eV per atom. Its total energy is -4.643 eV/atom.



# 4
VASP calculation (PBE) on Zr3TaPt after structural relaxation.

Lattice parameters (Å, degrees): 5.0394 5.0394 5.0394 90.00 90.00 90.00
Atoms (fractional coordinates):
Zr: 0.0000 0.0000 0.5000
Zr: 0.0000 0.5000 0.0000
Zr: 0.5000 0.0000 0.0000
Ta: 0.5000 0.5000 0.5000
Pt: 0.0000 0.0000 0.0000

The relative energy among the computed polymorphs comes out at 0.000 eV per atom. The value obtained for the magnetic moment is 0.19 μB per cell. For the density of states at the Fermi level, the calculation gives 1.79 states/eV per atom. Its total energy is -8.080 eV/atom.



# 5
VASP calculation (PBE) on CdAg3F6 after structural relaxation.

Lattice parameters (Å, degrees): 7.0537 7.0537 3.6295 90.00 90.00 113.93
Atoms (fractional coordinates):
Cd: 0.0000 0.0000 0.0000
Ag: 0.0000 0.5000 0.5000
Ag: 0.5000 0.0000 0.5000
Ag: 0.5000 0.5000 0.0000
F: 0.1164 0.8836 0.5000
F: 0.1679 0.4085 0.0000
F: 0.4085 0.1679 0.0000
F: 0.5915 0.8321 0.0000
F: 0.8321 0.5915 0.0000
F: 0.8836 0.1164 0.5000

The relative energy among the computed polymorphs comes out at 0.010 eV per atom. The value obtained for the magnetic moment is 0.96 μB per cell. For the density of states at the Fermi level, the calculation gives 0.47 states/eV per atom. As for the formation energy (no corrections): -1372.5 meV/atom. Its total energy is -3.442 eV/atom.



# 6
VASP calculation (PBE) on BaInSeBr2 after structural relaxation.

Lattice parameters (Å, degrees): 6.2650 6.2650 6.3486 90.00 90.00 90.00
Atoms (fractional coordinates):
Ba: 0.0000 0.0000 0.0000
In: 0.5000 0.5000 0.5000
Se: 0.0000 0.0000 0.5000
Br: 0.0000 0.5000 0.0000
Br: 0.5000 0.0000 0.0000

The relative energy among the computed polymorphs comes out at 0.277 eV per atom. The value obtained for the magnetic moment is 1.01 μB per cell. For the density of states at the Fermi level, the calculation gives 1.36 states/eV per atom. As for the formation energy (no corrections): -875.1 meV/atom. Its total energy is -3.173 eV/atom.